# BeTl2Re

An optimized crystal structure of BeTl2Re (PBE, the Alexandria database).

```
BeTl2Re
1.0
-2.106 -2.844 0.237
1.183 -0.603 3.289
-4.243 3.318 2.135
Tl Re Be
2 1 1
direct
0.000 0.000 0.006
0.000 0.000 0.494
0.500 0.500 0.750
0.500 0.500 0.250
```

Output
* total magnetic moment: 0.0 Bohr magnetons per cell
* ΔE to the lowest computed polymorph: 1.860 eV per formula unit
* symmetry: No. 123
* uncorrected energy: -4.17 eV per atom